A relaxed In2Fe2Pd crystal. Source: Alexandria, functional PBE.

Unit cell a=6.8270 b=6.8270 c=3.6283 alpha=90.00 beta=90.00 gamma=90.00
With the nearest neighbours (Å) after each atom.
Space group P4/mbm (No. 127)
Inequivalent atoms, fractional coordinates:
In 0.1823 0.3177 0.0000  6 Fe 2.67-2.76
Fe 0.1152 0.6152 0.5000  1 Fe 2.22
Pd 0.0000 0.0000 0.5000  4 Fe 2.74

=====

A relaxed InFePd5 crystal. Source: Alexandria, functional PBE.

Unit cell a=11.8572 b=7.4379 c=5.2144 alpha=90.00 beta=100.23 gamma=90.00
With the nearest neighbours (Å) after each atom.
Space group C2/c (No. 15)
Inequivalent atoms, fractional coordinates:
In 0.0000 0.2420 0.2500  9 Pd 2.69-2.78
Fe 0.2500 0.2500 0.0000  6 Pd 2.62-2.71
Pd 0.0000 0.1198 0.7500  3 In 2.69-2.76, 6 Pd 2.76-2.93
Pd 0.1099 0.4453 0.6679  1 Fe 2.62, 6 Pd 2.72-2.88, 2 In 2.74-2.78
Pd 0.1935 0.0884 0.5287  2 Fe 2.62-2.71, 6 Pd 2.72-2.92, 1 In 2.74

=====

A relaxed InFe2Pd7 crystal. Source: Alexandria, functional PBE.

Unit cell a=7.2539 b=12.3474 c=4.3203 alpha=90.00 beta=90.00 gamma=90.00
With the nearest neighbours (Å) after each atom.
Space group Cmmm (No. 65)
Inequivalent atoms, fractional coordinates:
In 0.0000 0.0000 0.0000  10 Pd 2.67-2.93
Fe 0.0000 0.3019 0.5000  7 Pd 2.40-2.66
Pd 0.0000 0.2164 0.0000  2 Fe 2.40, 1 In 2.67
Pd 0.0000 0.5000 0.5000  2 Fe 2.45, 4 Pd 2.69
Pd 0.1879 0.1170 0.5000  2 Fe 2.48-2.66, 2 Pd 2.69-2.73

=====

A relaxed InFePd3 crystal. Source: Alexandria, functional PBE.

Unit cell a=4.6454 b=4.6454 c=4.6454 alpha=90.00 beta=90.00 gamma=90.00
With the nearest neighbours (Å) after each atom.
Space group Pm-3m (No. 221)
Inequivalent atoms, fractional coordinates:
In 0.0000 0.0000 0.0000  12 Pd 3.28
Fe 0.5000 0.5000 0.5000  6 Pd 2.32
Pd 0.0000 0.5000 0.5000  2 Fe 2.32

Results
Polymorph energy (0 for the lowest one) in meV per atom: 0

=====

no.,VASP energy (eV/atom),Fermi-level density of states (states/eV/f.u.)
1,-5.36,3.87
2,-5.49,3.70
3,-5.31,6.27
4,-4.89,4.62